Below is an optimized crystal structure of RbAgPb2, with properties calculated at the PBE level.

Unit cell a=5.5452 b=5.5452 c=5.5452 alpha=60.00 beta=60.00 gamma=60.00
Atoms (fractional coordinates):
1 Rb 0.0000 0.0000 0.0000
2 Ag 0.5000 0.5000 0.5000
3 Pb 0.2500 0.2500 0.2500
4 Pb 0.7500 0.7500 0.7500

## Properties
As for the formation energy: 188 meV per atom. Its space group is Fm-3m (225). The calculation puts the total moment at 0.000 μB per cell. Its total energy is -2.621 eV per atom.